No. 1
Computed, not measured: TiTcSnO6 after structural relaxation at the PBE level of DFT.

a b c (Å): 5.0877 5.0877 9.1837
angles (deg): 90.00 90.00 120.00
With the nearest neighbours (Å) after each atom.
Fractional coordinates of all 18 atoms:
Tc 0.3333 0.6667 0.2500  6 O 2.02
Tc 0.6667 0.3333 0.7500  6 O 2.02
O 0.3450 0.3381 0.3691  1 Ti 1.98, 1 Tc 2.02, 1 Sn 2.11
O 0.0069 0.3450 0.6309  1 Ti 1.98, 1 Tc 2.02, 1 Sn 2.11
O 0.3450 0.0069 0.1309  1 Ti 1.98, 1 Tc 2.02, 1 Sn 2.11
O 0.0069 0.6619 0.8691  1 Ti 1.98, 1 Tc 2.02, 1 Sn 2.11
O 0.6550 0.9931 0.8691  1 Ti 1.98, 1 Tc 2.02, 1 Sn 2.11
O 0.6619 0.0069 0.3691  1 Ti 1.98, 1 Tc 2.02, 1 Sn 2.11
O 0.3381 0.3450 0.8691  1 Ti 1.98, 1 Tc 2.02, 1 Sn 2.11
O 0.9931 0.3381 0.1309  1 Ti 1.98, 1 Tc 2.02, 1 Sn 2.11
O 0.9931 0.6550 0.3691  1 Ti 1.98, 1 Tc 2.02, 1 Sn 2.11
O 0.6550 0.6619 0.6309  1 Ti 1.98, 1 Tc 2.02, 1 Sn 2.11
O 0.3381 0.9931 0.6309  1 Ti 1.98, 1 Tc 2.02, 1 Sn 2.11
O 0.6619 0.6550 0.1309  1 Ti 1.98, 1 Tc 2.02, 1 Sn 2.11
Ti 0.3333 0.6667 0.7500  6 O 1.98
Ti 0.6667 0.3333 0.2500  6 O 1.98
Sn 0.0000 0.0000 0.0000  6 O 2.11
Sn 0.0000 0.0000 0.5000  6 O 2.11

Properties
The value obtained for the volume is 102.9 Å³/f.u. For the density of states at the Fermi level, the calculation gives 0.249 states/eV per atom. The value obtained for the energy relative to the elements, uncorrected is -1928 meV/atom. The raw total energy comes out at -69.364 eV per formula unit.

No. 2
Computed, not measured: TlH2Cl5 after structural relaxation at the PBE level of DFT.

a b c (Å): 6.2557 7.3850 7.0159
angles (deg): 76.76 123.25 108.65
With the nearest neighbours (Å) after each atom.
Fractional coordinates of all 8 atoms:
Tl 0.9931 0.1356 0.9780  3 Cl 2.39-2.48
Cl 0.3925 0.3852 0.1348  1 H 2.27, 1 Tl 2.41
Cl 0.9079 0.0741 0.6065  1 H 2.02
Cl 0.2693 0.8465 0.3114  1 H 1.34
Cl 0.7027 0.4681 0.8111  1 H 1.31
Cl 0.6338 0.9541 0.0295  1 Tl 2.39
H 0.5794 0.4152 0.9246  1 Cl 1.31
H 0.5214 0.9442 0.4270  1 Cl 1.34

Properties
The value obtained for the volume is 256.2 Å³/f.u. For the density of states at the Fermi level, the calculation gives 0.000 states/eV per atom. The raw total energy comes out at -22.817 eV per formula unit.

No. 3
Computed, not measured: LaGe2Mo after structural relaxation at the PBE level of DFT.

a b c (Å): 3.9332 3.9332 6.9835
angles (deg): 73.64 73.64 60.00
With the nearest neighbours (Å) after each atom.
Fractional coordinates of all 4 atoms:
Mo 0.0000 0.0000 0.0000  6 Ge 2.61
Ge 0.7314 0.7314 0.8057  3 Mo 2.61
Ge 0.2686 0.2686 0.1943  3 Mo 2.61
La 0.5000 0.5000 0.5000  6 Ge 3.04

Properties
The value obtained for the volume is 88.5 Å³/f.u. For the density of states at the Fermi level, the calculation gives 0.869 states/eV per atom. The formation energy comes out at -0.26 eV per atom. The raw total energy comes out at -26.016 eV per formula unit.

No. 4
Computed, not measured: CeSc2Sb4 after structural relaxation at the PBE level of DFT.

a b c (Å): 4.2639 5.9420 16.0375
angles (deg): 90.00 90.00 111.03
With the nearest neighbours (Å) after each atom.
Fractional coordinates of all 14 atoms:
Sc 0.1510 0.3020 0.0739  6 Sb 2.83-3.02
Sc 0.1510 0.3020 0.4261  6 Sb 2.83-3.02
Sc 0.8490 0.6980 0.9261  6 Sb 2.83-3.02
Sc 0.8490 0.6980 0.5739  6 Sb 2.83-3.02
Sb 0.8349 0.6698 0.1142  3 Sc 3.02, 2 Ce 3.22, 2 Sb 3.35
Sb 0.1651 0.3302 0.8858  3 Sc 3.02, 2 Ce 3.22, 2 Sb 3.35
Sb 0.5000 0.0000 0.0000  4 Sc 2.96
Sb 0.8349 0.6698 0.3858  3 Sc 3.02, 2 Ce 3.22, 2 Sb 3.35
Sb 0.5000 0.0000 0.5000  4 Sc 2.96
Sb 0.8585 0.7169 0.7500  2 Sc 2.83
Sb 0.1415 0.2831 0.2500  2 Sc 2.83
Sb 0.1651 0.3302 0.6142  3 Sc 3.02, 2 Ce 3.22, 2 Sb 3.35
Ce 0.4293 0.8585 0.2500  7 Sb 3.18-3.22
Ce 0.5707 0.1415 0.7500  7 Sb 3.18-3.22

Properties
The value obtained for the volume is 189.6 Å³/f.u. For the density of states at the Fermi level, the calculation gives 1.104 states/eV per atom. The value obtained for the energy relative to the elements, uncorrected is -730 meV/atom. The raw total energy comes out at -40.197 eV per formula unit.

No. 5
Computed, not measured: GeBSN2 after structural relaxation at the PBE level of DFT.

a b c (Å): 3.5101 3.5101 6.6964
angles (deg): 90.00 90.00 90.00
With the nearest neighbours (Å) after each atom.
Fractional coordinates of all 5 atoms:
N 0.5000 0.0000 0.0000  2 Ge 1.76
N 0.0000 0.5000 0.0000  2 Ge 1.76
B 0.5000 0.5000 0.5000  4 S 2.48
Ge 0.0000 0.0000 0.0000  4 N 1.76
S 0.0000 0.0000 0.5000  4 B 2.48

Properties
The value obtained for the volume is 82.5 Å³/f.u. For the density of states at the Fermi level, the calculation gives 0.615 states/eV per atom. The value obtained for the energy relative to the elements, uncorrected is 1817 meV/atom. The raw total energy comes out at -22.990 eV per formula unit.

No. 6
Computed, not measured: PRuC2 after structural relaxation at the PBE level of DFT.

a b c (Å): 4.5864 4.5864 5.2131
angles (deg): 63.90 63.90 90.00
With the nearest neighbours (Å) after each atom.
Fractional coordinates of all 8 atoms:
Ru 0.7500 0.2500 0.5000  4 C 2.05
Ru 0.0000 0.0000 0.0000  4 C 2.05
P 0.2500 0.7500 0.5000  4 C 1.80
P 0.5000 0.5000 0.0000  4 C 1.80
C 0.5781 0.1250 0.2500  2 P 1.80
C 0.1719 0.6250 0.2500  2 P 1.80
C 0.3750 0.4219 0.7500  2 P 1.80
C 0.8750 0.8281 0.7500  2 P 1.80

Properties
The value obtained for the volume is 42.9 Å³/f.u. For the density of states at the Fermi level, the calculation gives 0.492 states/eV per atom. The formation energy comes out at 0.53 eV per atom. The raw total energy comes out at -31.011 eV per formula unit.